[1]
DFT (GGA-PBE) results for a relaxed structure of Ca4ScFe.

Cell and atoms, written as CIF:
```
data_Ca4ScFe
_symmetry_space_group_name_H-M 'P 1'
_symmetry_Int_Tables_number 1
_cell_length_a 6.6097
_cell_length_b 6.6097
_cell_length_c 6.6097
_cell_angle_alpha 60.00
_cell_angle_beta 60.00
_cell_angle_gamma 60.00
loop_
_symmetry_equiv_pos_as_xyz
'x,y,z'
loop_
_atom_site_label
_atom_site_fract_x
_atom_site_fract_y
_atom_site_fract_z
Ca1 0.1247 0.1247 0.1247
Ca2 0.1247 0.1247 0.6259
Ca3 0.1247 0.6259 0.1247
Ca4 0.6259 0.1247 0.1247
Sc1 0.5000 0.5000 0.5000
Fe1 0.7500 0.7500 0.7500
```

Output
* energy: -2.95 eV per atom
* formation energy: 0.849 eV per atom



[2]
DFT (GGA-PBE) results for a relaxed structure of Ca2ScFe.

Cell and atoms, written as CIF:
```
data_Ca2ScFe
_symmetry_space_group_name_H-M 'P 1'
_symmetry_Int_Tables_number 1
_cell_length_a 7.7764
_cell_length_b 7.7764
_cell_length_c 7.7764
_cell_angle_alpha 95.00
_cell_angle_beta 95.00
_cell_angle_gamma 145.66
loop_
_symmetry_equiv_pos_as_xyz
'x,y,z'
loop_
_atom_site_label
_atom_site_fract_x
_atom_site_fract_y
_atom_site_fract_z
Ca1 0.3750 0.2226 0.3476
Ca2 0.7774 0.1250 0.1524
Ca3 0.8750 0.0274 0.6524
Ca4 0.9726 0.6250 0.8476
Sc1 0.2500 0.7500 0.5000
Sc2 0.5000 0.5000 0.0000
Fe1 0.0000 0.0000 0.0000
Fe2 0.7500 0.2500 0.5000
```

Output
* energy: -4.15 eV per atom
* E above lowest polymorph: 36.3 kJ per mole of atoms
* formation energy: 0.551 eV per atom



[3]
DFT (GGA-PBE) results for a relaxed structure of CaSc3Fe.

Cell and atoms, written as CIF:
```
data_CaSc3Fe
_symmetry_space_group_name_H-M 'P 1'
_symmetry_Int_Tables_number 1
_cell_length_a 4.9744
_cell_length_b 4.9744
_cell_length_c 4.9744
_cell_angle_alpha 90.00
_cell_angle_beta 90.00
_cell_angle_gamma 90.00
loop_
_symmetry_equiv_pos_as_xyz
'x,y,z'
loop_
_atom_site_label
_atom_site_fract_x
_atom_site_fract_y
_atom_site_fract_z
Ca1 0.0000 0.0000 0.0000
Sc1 0.0000 0.5000 0.5000
Sc2 0.5000 0.0000 0.5000
Sc3 0.5000 0.5000 0.0000
Fe1 0.5000 0.5000 0.5000
```

Output
* energy: -5.88 eV per atom
* E above lowest polymorph: 0.0 kJ per mole of atoms
* formation energy: 0.011 eV per atom



[4]
DFT (GGA-PBE) results for a relaxed structure of Ca2ScFe.

Cell and atoms, written as CIF:
```
data_Ca2ScFe
_symmetry_space_group_name_H-M 'P 1'
_symmetry_Int_Tables_number 1
_cell_length_a 5.9496
_cell_length_b 5.9496
_cell_length_c 5.9496
_cell_angle_alpha 134.79
_cell_angle_beta 134.79
_cell_angle_gamma 65.85
loop_
_symmetry_equiv_pos_as_xyz
'x,y,z'
loop_
_atom_site_label
_atom_site_fract_x
_atom_site_fract_y
_atom_site_fract_z
Ca1 0.2500 0.7500 0.5000
Ca2 0.7500 0.2500 0.5000
Sc1 0.0000 0.0000 0.0000
Fe1 0.5000 0.5000 0.0000
```

Output
* energy: -4.19 eV per atom
* E above lowest polymorph: 32.8 kJ per mole of atoms
* formation energy: 0.514 eV per atom



[5]
DFT (GGA-PBE) results for a relaxed structure of Ca2ScFe.

Cell and atoms, written as CIF:
```
data_Ca2ScFe
_symmetry_space_group_name_H-M 'P 1'
_symmetry_Int_Tables_number 1
_cell_length_a 6.3433
_cell_length_b 6.3433
_cell_length_c 6.3433
_cell_angle_alpha 148.37
_cell_angle_beta 126.30
_cell_angle_gamma 63.67
loop_
_symmetry_equiv_pos_as_xyz
'x,y,z'
loop_
_atom_site_label
_atom_site_fract_x
_atom_site_fract_y
_atom_site_fract_z
Ca1 0.0000 0.0000 0.0000
Ca2 0.6911 0.1911 0.5000
Sc1 0.3809 0.3809 0.0000
Fe1 0.2169 0.7169 0.5000
```

Output
* energy: -4.40 eV per atom
* E above lowest polymorph: 11.7 kJ per mole of atoms
* formation energy: 0.296 eV per atom



[6]
DFT (GGA-PBE) results for a relaxed structure of Ca2ScFe.

Cell and atoms, written as CIF:
```
data_Ca2ScFe
_symmetry_space_group_name_H-M 'P 1'
_symmetry_Int_Tables_number 1
_cell_length_a 3.5146
_cell_length_b 3.5146
_cell_length_c 8.7231
_cell_angle_alpha 90.00
_cell_angle_beta 90.00
_cell_angle_gamma 90.00
loop_
_symmetry_equiv_pos_as_xyz
'x,y,z'
loop_
_atom_site_label
_atom_site_fract_x
_atom_site_fract_y
_atom_site_fract_z
Ca1 0.0000 0.0000 0.0000
Ca2 0.5000 0.5000 0.3567
Sc1 0.5000 0.5000 0.7133
Fe1 0.0000 0.0000 0.5918
```

Output
* energy: -4.53 eV per atom
* E above lowest polymorph: 0.0 kJ per mole of atoms
* formation energy: 0.174 eV per atom



[7]
DFT (GGA-PBE) results for a relaxed structure of Ca2ScFe.

Cell and atoms, written as CIF:
```
data_Ca2ScFe
_symmetry_space_group_name_H-M 'P 1'
_symmetry_Int_Tables_number 1
_cell_length_a 5.8231
_cell_length_b 5.8231
_cell_length_c 3.4145
_cell_angle_alpha 90.00
_cell_angle_beta 90.00
_cell_angle_gamma 111.57
loop_
_symmetry_equiv_pos_as_xyz
'x,y,z'
loop_
_atom_site_label
_atom_site_fract_x
_atom_site_fract_y
_atom_site_fract_z
Ca1 0.0000 0.5000 0.0000
Ca2 0.5000 0.0000 0.0000
Sc1 0.0000 0.0000 0.5000
Fe1 0.5000 0.5000 0.5000
```

Output
* energy: -4.13 eV per atom
* E above lowest polymorph: 38.1 kJ per mole of atoms
* formation energy: 0.569 eV per atom



[8]
DFT (GGA-PBE) results for a relaxed structure of Ca2ScFe.

Cell and atoms, written as CIF:
```
data_Ca2ScFe
_symmetry_space_group_name_H-M 'P 1'
_symmetry_Int_Tables_number 1
_cell_length_a 5.6042
_cell_length_b 5.6042
_cell_length_c 5.6042
_cell_angle_alpha 129.19
_cell_angle_beta 129.19
_cell_angle_gamma 74.71
loop_
_symmetry_equiv_pos_as_xyz
'x,y,z'
loop_
_atom_site_label
_atom_site_fract_x
_atom_site_fract_y
_atom_site_fract_z
Ca1 0.0000 0.0000 0.0000
Ca2 0.7500 0.2500 0.5000
Sc1 0.5000 0.5000 0.0000
Fe1 0.2500 0.7500 0.5000
```

Output
* energy: -4.20 eV per atom
* E above lowest polymorph: 31.0 kJ per mole of atoms
* formation energy: 0.495 eV per atom



[9]
DFT (GGA-PBE) results for a relaxed structure of CaSc4Fe.

Cell and atoms, written as CIF:
```
data_CaSc4Fe
_symmetry_space_group_name_H-M 'P 1'
_symmetry_Int_Tables_number 1
_cell_length_a 5.9957
_cell_length_b 5.9957
_cell_length_c 5.9957
_cell_angle_alpha 60.00
_cell_angle_beta 60.00
_cell_angle_gamma 60.00
loop_
_symmetry_equiv_pos_as_xyz
'x,y,z'
loop_
_atom_site_label
_atom_site_fract_x
_atom_site_fract_y
_atom_site_fract_z
Ca1 0.0000 0.0000 0.0000
Sc1 0.3767 0.3767 0.3767
Sc2 0.3767 0.3767 0.8699
Sc3 0.3767 0.8699 0.3767
Sc4 0.8699 0.3767 0.3767
Fe1 0.7500 0.7500 0.7500
```

Output
* energy: -5.40 eV per atom
* formation energy: 0.569 eV per atom



[10]
DFT (GGA-PBE) results for a relaxed structure of Ca2ScFe.

Cell and atoms, written as CIF:
```
data_Ca2ScFe
_symmetry_space_group_name_H-M 'P 1'
_symmetry_Int_Tables_number 1
_cell_length_a 3.3972
_cell_length_b 3.3972
_cell_length_c 9.2651
_cell_angle_alpha 90.00
_cell_angle_beta 90.00
_cell_angle_gamma 90.00
loop_
_symmetry_equiv_pos_as_xyz
'x,y,z'
loop_
_atom_site_label
_atom_site_fract_x
_atom_site_fract_y
_atom_site_fract_z
Ca1 0.0000 0.0000 0.2070
Ca2 0.0000 0.0000 0.7930
Sc1 0.5000 0.5000 0.5000
Fe1 0.5000 0.5000 0.0000
```

Output
* energy: -4.24 eV per atom
* E above lowest polymorph: 27.5 kJ per mole of atoms
* formation energy: 0.459 eV per atom



[11]
DFT (GGA-PBE) results for a relaxed structure of Ca2ScFe.

Cell and atoms, written as CIF:
```
data_Ca2ScFe
_symmetry_space_group_name_H-M 'P 1'
_symmetry_Int_Tables_number 1
_cell_length_a 5.1553
_cell_length_b 5.1553
_cell_length_c 5.1553
_cell_angle_alpha 60.00
_cell_angle_beta 60.00
_cell_angle_gamma 60.00
loop_
_symmetry_equiv_pos_as_xyz
'x,y,z'
loop_
_atom_site_label
_atom_site_fract_x
_atom_site_fract_y
_atom_site_fract_z
Ca1 0.2500 0.2500 0.2500
Ca2 0.7500 0.7500 0.7500
Sc1 0.0000 0.0000 0.0000
Fe1 0.5000 0.5000 0.5000
```

Output
* energy: -3.97 eV per atom
* E above lowest polymorph: 53.7 kJ per mole of atoms
* formation energy: 0.730 eV per atom



[12]
DFT (GGA-PBE) results for a relaxed structure of CaSc3Fe.

Cell and atoms, written as CIF:
```
data_CaSc3Fe
_symmetry_space_group_name_H-M 'P 1'
_symmetry_Int_Tables_number 1
_cell_length_a 4.8453
_cell_length_b 4.8453
_cell_length_c 4.8453
_cell_angle_alpha 90.00
_cell_angle_beta 90.00
_cell_angle_gamma 90.00
loop_
_symmetry_equiv_pos_as_xyz
'x,y,z'
loop_
_atom_site_label
_atom_site_fract_x
_atom_site_fract_y
_atom_site_fract_z
Ca1 0.0000 0.0000 0.0000
Sc1 0.0000 0.0000 0.5000
Sc2 0.0000 0.5000 0.0000
Sc3 0.5000 0.0000 0.0000
Fe1 0.5000 0.5000 0.5000
```

Output
* energy: -4.10 eV per atom
* E above lowest polymorph: 172.0 kJ per mole of atoms
* formation energy: 1.793 eV per atom